1.
A relaxed structure of PrInNi4H6, computed with PBE.

- E_tot (eV per atom) = -4.536

```
12
Lattice="-1.100 -0.616 4.219 -1.626 -2.659 -3.110 5.349 -4.187 0.784" Properties=species:S:1:pos:R:3 pbc="T T T"
H 0.402 -3.019 0.813
H 2.220 -4.443 1.079
H 0.952 -2.711 -1.297
H 3.033 -3.113 2.634
H 2.771 -4.135 -1.030
H 1.215 -1.690 2.368
Ni 3.091 -4.715 2.416
Ni 2.916 -5.396 -0.027
Ni -0.469 -2.747 -0.523
Ni -0.294 -2.066 1.920
In 0.000 0.000 0.000
Pr 2.674 -2.093 0.392
```

2.
A relaxed structure of InNiHPt, computed with PBE.

- E_tot (eV per atom) = -4.601

```
4
Lattice="3.725 0.000 -0.004 0.000 2.951 0.000 -1.866 -1.475 4.537" Properties=species:S:1:pos:R:3 pbc="T T T"
H 1.834 1.475 3.031
Pt -0.081 1.475 3.802
Ni 1.785 0.000 2.178
In -0.075 1.475 0.847
```

3.
A relaxed structure of InNi2HPt, computed with PBE.

- E_tot (eV per atom) = -4.793

```
5
Lattice="-0.335 -1.949 -3.226 -3.115 -1.680 1.339 -2.364 3.090 -1.621" Properties=species:S:1:pos:R:3 pbc="T T T"
H 0.000 0.000 0.000
Ni -1.557 -0.840 0.669
Ni -0.167 -0.974 -1.613
Pt -2.907 -0.270 -1.754
In -1.182 1.545 -0.811
```

4.
A relaxed structure of InNiHPt2, computed with PBE.

- E_tot (eV per atom) = -5.038

```
5
Lattice="-0.589 -2.151 -3.379 3.394 1.547 -1.577 2.079 -2.990 1.541" Properties=species:S:1:pos:R:3 pbc="T T T"
H 0.000 0.000 0.000
In 2.442 -1.797 -1.708
Ni 1.039 -1.495 0.770
Pt -0.295 -1.076 -1.690
Pt 1.697 0.773 -0.788
```

5.
A relaxed structure of In2NiHPt, computed with PBE.

- E_tot (eV per atom) = -4.239

```
5
Lattice="4.799 0.000 0.000 0.000 4.799 0.000 0.000 0.000 3.164" Properties=species:S:1:pos:R:3 pbc="T T T"
In 2.399 0.000 0.000
In 0.000 2.399 0.000
Ni 0.000 0.000 1.582
Pt 2.399 2.399 1.582
H 0.000 0.000 0.000
```

6.
A relaxed structure of InNi2HPt, computed with PBE.

- E_tot (eV per atom) = -4.949

```
5
Lattice="3.933 0.000 0.000 0.000 3.933 0.000 0.000 0.000 3.856" Properties=species:S:1:pos:R:3 pbc="T T T"
H 0.000 0.000 0.000
Ni 1.966 0.000 0.000
Ni 0.000 1.966 0.000
Pt 0.000 0.000 1.928
In 1.966 1.966 1.928
```